(1)
First-principles (PBE) data for an optimized crystal structure of MgV4S8, as listed in Alexandria.

Cell: 6.668 6.668 8.267 Å, 125.50 125.50 60.03°
Atoms (fractional coordinates):
Mg 0.000 0.000 0.000
V 0.273 0.273 0.504
V 0.280 0.720 0.500
V 0.720 0.280 0.500
V 0.727 0.727 0.496
S 0.008 0.008 0.700
S 0.031 0.522 0.731
S 0.456 0.456 0.246
S 0.478 0.969 0.269
S 0.522 0.031 0.731
S 0.544 0.544 0.754
S 0.969 0.478 0.269
S 0.992 0.992 0.300

Results
For the density, the calculation gives 3406 kg/m³. Its total moment is 4.8 μB/f.u. The calculation puts the formation energy from raw total energies at -0.97 eV/atom. The energy relative to the lowest polymorph listed for this composition comes out at 0 meV/atom.

---

(2)
First-principles (PBE) data for an optimized crystal structure of MgVS3, as listed in Alexandria.

Cell: 4.710 4.710 4.710 Å, 90.00 90.00 90.00°
Atoms (fractional coordinates):
Mg 0.000 0.000 0.000
V 0.500 0.500 0.500
S 0.000 0.000 0.500
S 0.000 0.500 0.000
S 0.500 0.000 0.000

Results
For the density, the calculation gives 2725 kg/m³. Its total moment is 2.0 μB/f.u. The calculation puts the formation energy from raw total energies at 0.30 eV/atom. The energy relative to the lowest polymorph listed for this composition comes out at 1170 meV/atom.

---

(3)
First-principles (PBE) data for an optimized crystal structure of MgV3S, as listed in Alexandria.

Cell: 4.355 4.355 4.355 Å, 90.00 90.00 90.00°
Atoms (fractional coordinates):
Mg 0.000 0.000 0.000
V 0.000 0.500 0.500
V 0.500 0.000 0.500
V 0.500 0.500 0.000
S 0.500 0.500 0.500

Results
For the density, the calculation gives 4207 kg/m³. Its total moment is 3.2 μB/f.u. The calculation puts the formation energy from raw total energies at 0.06 eV/atom. The energy relative to the lowest polymorph listed for this composition comes out at 0 meV/atom.